# 1
Entry from Alexandria via LeMat-Bulk: TaOs after structural relaxation (GGA-PBE).

Lattice parameters (Å, degrees): 2.822 2.822 9.437 90.00 90.00 120.00
Element x y z (fractional)
Ta 0.333 0.667 0.763
Ta 0.000 0.000 0.487
Os 0.000 0.000 0.013
Os 0.333 0.667 0.237

Summary:
D(E_F) = 3.57 states/eV per cell
Space-group type = No. 164
Calculated formation energy = 117 meV per atom

=====

# 2
Entry from Alexandria via LeMat-Bulk: TcAg2Br after structural relaxation (GGA-PBE).

Lattice parameters (Å, degrees): 3.073 4.681 5.222 90.00 90.00 90.00
Each line ends with the local moment (μB).
Element x y z (fractional)
Br 0.500 0.000 0.500  0.04
Tc 0.000 0.500 0.500  1.91
Ag 0.000 0.000 0.000  0.00
Ag 0.500 0.500 0.000  0.02

Summary:
D(E_F) = 2.62 states/eV per cell
Space-group type = No. 47
Formation energy (no corrections) = 0.749 eV per atom